Entry 1:
Density functional theory data (PBE) for a relaxed structure of Pm10NdTm6.

Structure (CIF):
```
data_Pm10NdTm6
_symmetry_space_group_name_H-M 'P 1'
_symmetry_Int_Tables_number 1
_symmetry_space_group_name_Hall 'P 1'
_cell_length_a 6.870
_cell_length_b 9.781
_cell_length_c 9.781
_cell_angle_alpha 120.00
_cell_angle_beta 90.00
_cell_angle_gamma 90.00
loop_
_atom_site_label
_atom_site_type_symbol
_atom_site_fract_x
_atom_site_fract_y
_atom_site_fract_z
Pm1 Pm 0.820 0.721 0.721
Pm2 Pm 0.820 0.000 0.279
Pm3 Pm 0.820 0.279 0.000
Pm4 Pm 0.180 0.279 0.279
Pm5 Pm 0.180 0.000 0.721
Pm6 Pm 0.180 0.721 0.000
Pm7 Pm 0.500 0.333 0.667
Pm8 Pm 0.500 0.667 0.333
Pm9 Pm 0.000 0.667 0.333
Pm10 Pm 0.000 0.333 0.667
Nd1 Nd 0.500 0.000 0.000
Tm1 Tm 0.687 0.370 0.370
Tm2 Tm 0.687 0.000 0.630
Tm3 Tm 0.687 0.630 0.000
Tm4 Tm 0.313 0.630 0.630
Tm5 Tm 0.313 0.000 0.370
Tm6 Tm 0.313 0.370 0.000
```

SG   P-31m (162)
Calculated density   7.608 g/cm3
Total energy   -76.84 eV per cell
Calculated formation energy   0.1333 eV/atom
Total magnetization   0.0 μB per formula unit


Entry 2:
Density functional theory data (PBE) for a relaxed structure of TbPrZnCo.

Structure (CIF):
```
data_TbPrZnCo
_symmetry_space_group_name_H-M 'P 1'
_symmetry_Int_Tables_number 1
_symmetry_space_group_name_Hall 'P 1'
_cell_length_a 4.995
_cell_length_b 4.995
_cell_length_c 4.995
_cell_angle_alpha 60.00
_cell_angle_beta 60.00
_cell_angle_gamma 60.00
loop_
_atom_site_label
_atom_site_type_symbol
_atom_site_fract_x
_atom_site_fract_y
_atom_site_fract_z
Pr1 Pr 0.250 0.250 0.250
Co1 Co 0.500 0.500 0.500
Zn1 Zn 0.000 0.000 0.000
Tb1 Tb 0.750 0.750 0.750
```

SG   F-43m (216)
Calculated density   7.995 g/cm3
Total energy   -18.34 eV per cell
Calculated formation energy   -0.1374 eV/atom
Total magnetization   0.0 μB per formula unit


Entry 3:
Density functional theory data (PBE) for a relaxed structure of CrFe3.

Structure (CIF):
```
data_CrFe3
_symmetry_space_group_name_H-M 'P 1'
_symmetry_Int_Tables_number 1
_symmetry_space_group_name_Hall 'P 1'
_cell_length_a 2.478
_cell_length_b 2.478
_cell_length_c 7.958
_cell_angle_alpha 90.00
_cell_angle_beta 90.00
_cell_angle_gamma 120.00
loop_
_atom_site_label
_atom_site_type_symbol
_atom_site_fract_x
_atom_site_fract_y
_atom_site_fract_z
Cr1 Cr 0.000 0.000 0.000
Fe1 Fe 0.000 0.000 0.500
Fe2 Fe 0.333 0.667 0.256
Fe3 Fe 0.333 0.667 0.744
```

SG   P-6m2 (187)
Calculated density   8.615 g/cm3
Total energy   -34.51 eV per cell
Calculated formation energy   0.1244 eV/atom
Total magnetization   0.0 μB per formula unit


Entry 4:
Density functional theory data (PBE) for a relaxed structure of Sr4Te2As.

Structure (CIF):
```
data_Sr4Te2As
_symmetry_space_group_name_H-M 'P 1'
_symmetry_Int_Tables_number 1
_symmetry_space_group_name_Hall 'P 1'
_cell_length_a 9.591
_cell_length_b 9.591
_cell_length_c 13.344
_cell_angle_alpha 90.00
_cell_angle_beta 90.00
_cell_angle_gamma 90.00
loop_
_atom_site_label
_atom_site_type_symbol
_atom_site_fract_x
_atom_site_fract_y
_atom_site_fract_z
Sr1 Sr 0.236 0.973 0.518
Sr2 Sr 0.764 0.973 0.482
Sr3 Sr 0.027 0.236 0.768
Sr4 Sr 0.764 0.027 0.018
Sr5 Sr 0.233 0.471 0.997
Sr6 Sr 0.529 0.233 0.247
Sr7 Sr 0.471 0.767 0.747
Sr8 Sr 0.233 0.529 0.503
Sr9 Sr 0.767 0.471 0.003
Sr10 Sr 0.767 0.529 0.497
Sr11 Sr 0.471 0.233 0.753
Sr12 Sr 0.529 0.767 0.253
Sr13 Sr 0.973 0.236 0.232
Sr14 Sr 0.236 0.027 0.982
Sr15 Sr 0.973 0.764 0.268
Sr16 Sr 0.027 0.764 0.732
As1 As 0.000 0.750 0.500
As2 As 0.250 0.000 0.750
As3 As 0.750 0.000 0.250
As4 As 0.000 0.250 0.000
Te1 Te 0.756 0.756 0.875
Te2 Te 0.244 0.756 0.125
Te3 Te 0.756 0.244 0.625
Te4 Te 0.244 0.244 0.375
Te5 Te 0.747 0.500 0.250
Te6 Te 0.500 0.253 0.000
Te7 Te 0.500 0.747 0.500
Te8 Te 0.253 0.500 0.750
```

SG   P4_122 (91)
ΔE_f (raw)   -1.26 eV/atom
Calculated density   3.683 g/cm3
Total energy   -105.92 eV per cell
Total magnetization   0.0 μB per formula unit


Entry 5:
Density functional theory data (PBE) for a relaxed structure of Rb2BI6Cl.

Structure (CIF):
```
data_Rb2BI6Cl
_symmetry_space_group_name_H-M 'P 1'
_symmetry_Int_Tables_number 1
_symmetry_space_group_name_Hall 'P 1'
_cell_length_a 8.386
_cell_length_b 8.386
_cell_length_c 8.413
_cell_angle_alpha 60.10
_cell_angle_beta 60.10
_cell_angle_gamma 90.00
loop_
_atom_site_label
_atom_site_type_symbol
_atom_site_fract_x
_atom_site_fract_y
_atom_site_fract_z
I1 I 0.222 0.222 0.556
I2 I 0.778 0.778 0.444
I3 I 0.294 0.294 0.000
I4 I 0.706 0.706 0.000
I5 I 0.706 0.294 0.000
I6 I 0.294 0.706 0.000
B1 B 0.500 0.500 0.000
Rb1 Rb 0.750 0.250 0.500
Rb2 Rb 0.250 0.750 0.500
Cl1 Cl 0.000 0.000 0.000
```

SG   I4/mmm (139)
ΔE_f (raw)   -0.33 eV/atom
Calculated density   3.872 g/cm3
Total energy   -23.08 eV per cell
Total magnetization   0.0 μB per formula unit


Entry 6:
Density functional theory data (PBE) for a relaxed structure of RbTlHgSb2.

Structure (CIF):
```
data_RbTlHgSb2
_symmetry_space_group_name_H-M 'P 1'
_symmetry_Int_Tables_number 1
_symmetry_space_group_name_Hall 'P 1'
_cell_length_a 4.180
_cell_length_b 5.691
_cell_length_c 8.521
_cell_angle_alpha 109.51
_cell_angle_beta 104.20
_cell_angle_gamma 90.00
loop_
_atom_site_label
_atom_site_type_symbol
_atom_site_fract_x
_atom_site_fract_y
_atom_site_fract_z
Rb1 Rb 0.442 0.442 0.885
Tl1 Tl 0.176 0.676 0.352
Hg1 Hg 0.840 0.840 0.680
Sb1 Sb 0.693 0.193 0.386
Sb2 Sb 0.061 0.061 0.122
```

SG   Imm2 (44)
ΔE_f (raw)   -0.15 eV/atom
Calculated density   6.607 g/cm3
Total energy   -12.64 eV per cell
Total magnetization   0.0 μB per formula unit


Entry 7:
Density functional theory data (PBE) for a relaxed structure of NaInCuAg.

Structure (CIF):
```
data_NaInCuAg
_symmetry_space_group_name_H-M 'P 1'
_symmetry_Int_Tables_number 1
_symmetry_space_group_name_Hall 'P 1'
_cell_length_a 4.764
_cell_length_b 4.764
_cell_length_c 4.764
_cell_angle_alpha 60.00
_cell_angle_beta 60.00
_cell_angle_gamma 60.00
loop_
_atom_site_label
_atom_site_type_symbol
_atom_site_fract_x
_atom_site_fract_y
_atom_site_fract_z
Na1 Na 0.500 0.500 0.500
Cu1 Cu 0.250 0.250 0.250
Ag1 Ag 0.750 0.750 0.750
In1 In 0.000 0.000 0.000
```

SG   F-43m (216)
Calculated density   6.714 g/cm3
Total energy   -10.77 eV per cell
Calculated formation energy   0.0588 eV/atom
Total magnetization   0.0 μB per formula unit


Entry 8:
Density functional theory data (PBE) for a relaxed structure of Nd2CdS4.

Structure (CIF):
```
data_Nd2CdS4
_symmetry_space_group_name_H-M 'P 1'
_symmetry_Int_Tables_number 1
_symmetry_space_group_name_Hall 'P 1'
_cell_length_a 7.458
_cell_length_b 7.458
_cell_length_c 7.458
_cell_angle_alpha 110.69
_cell_angle_beta 110.69
_cell_angle_gamma 107.05
loop_
_atom_site_label
_atom_site_type_symbol
_atom_site_fract_x
_atom_site_fract_y
_atom_site_fract_z
Nd1 Nd 0.375 0.765 0.890
Nd2 Nd 0.515 0.625 0.390
Nd3 Nd 0.875 0.485 0.110
Nd4 Nd 0.235 0.125 0.610
Cd1 Cd 0.750 0.250 0.500
Cd2 Cd 0.000 0.000 0.000
S1 S 0.241 0.867 0.236
S2 S 0.994 0.759 0.626
S3 S 0.617 0.491 0.736
S4 S 0.118 0.383 0.874
S5 S 0.509 0.244 0.126
S6 S 0.133 0.368 0.374
S7 S 0.632 0.006 0.764
S8 S 0.756 0.882 0.264
```

SG   I-42d (122)
ΔE_f (raw)   -1.56 eV/atom
Calculated density   5.509 g/cm3
Total energy   -75.78 eV per cell
Total magnetization   0.0 μB per formula unit